(1)
! Ce2PuIn | the Alexandria database | PBE | relaxed; values from VASP
! Size of the total moment (Bohr magnetons per cell): 1.65
! Symmetry: R3m
! Calculated volume (Å³/f.u.): 97.82
&SYSTEM
  ibrav = 0, nat = 4, ntyp = 3
/
ATOMIC_SPECIES
Ce 140.12 Ce.upf
Pu 244.00 Pu.upf
In 114.82 In.upf
CELL_PARAMETERS angstrom
1.8217 1.0517 8.5097
-1.8217 1.0517 8.5097
0.0000 -2.1035 8.5097
ATOMIC_POSITIONS angstrom
Ce 0.0000 0.0000 0.0000
Ce 0.0000 0.0000 5.3893
Pu 0.0000 0.0000 15.5104
In 0.0000 0.0000 19.7461

=====

(2)
! CePuIn6 | the Alexandria database | PBE | relaxed; values from VASP
! Size of the total moment (Bohr magnetons per cell): 6.31
! Symmetry: P-6m2
! Calculated volume (Å³/f.u.): 206.12
&SYSTEM
  ibrav = 0, nat = 8, ntyp = 3
/
ATOMIC_SPECIES
Ce 140.12 Ce.upf
Pu 244.00 Pu.upf
In 114.82 In.upf
CELL_PARAMETERS angstrom
6.7355 0.0000 0.0000
-3.3678 5.8331 0.0000
0.0000 0.0000 5.2458
ATOMIC_POSITIONS angstrom
Ce 0.0000 0.0000 0.0000
Pu 0.0000 3.8888 2.6229
In 1.7520 1.0115 2.6229
In 3.3678 0.0614 0.0000
In 1.7371 2.8859 0.0000
In 4.9835 1.0115 2.6229
In 3.3678 3.8101 2.6229
In 4.9985 2.8859 0.0000

=====

(3)
! Ce3PuIn12 | the Alexandria database | PBE | relaxed; values from VASP
! Size of the total moment (Bohr magnetons per cell): 8.07
! Symmetry: P4/mmm
! Calculated volume (Å³/f.u.): 414.58
&SYSTEM
  ibrav = 0, nat = 16, ntyp = 3
/
ATOMIC_SPECIES
Ce 140.12 Ce.upf
Pu 244.00 Pu.upf
In 114.82 In.upf
CELL_PARAMETERS angstrom
4.6965 0.0000 0.0000
0.0000 4.6965 0.0000
0.0000 0.0000 18.7952
ATOMIC_POSITIONS angstrom
Ce 0.0000 0.0000 0.0000
Ce 0.0000 0.0000 4.7196
Ce 0.0000 0.0000 14.0756
Pu 0.0000 0.0000 9.3976
In 0.0000 2.3483 2.3633
In 0.0000 2.3483 7.0875
In 0.0000 2.3483 11.7077
In 0.0000 2.3483 16.4319
In 2.3483 0.0000 2.3633
In 2.3483 0.0000 7.0875
In 2.3483 0.0000 11.7077
In 2.3483 0.0000 16.4319
In 2.3483 2.3483 0.0000
In 2.3483 2.3483 4.7194
In 2.3483 2.3483 9.3976
In 2.3483 2.3483 14.0758

=====

(4)
! Ce2Pu2In | the Alexandria database | PBE | relaxed; values from VASP
! Size of the total moment (Bohr magnetons per cell): 24.37
! Symmetry: C2/c
! Calculated volume (Å³/f.u.): 131.46
&SYSTEM
  ibrav = 0, nat = 10, ntyp = 3
/
ATOMIC_SPECIES
Ce 140.12 Ce.upf
Pu 244.00 Pu.upf
In 114.82 In.upf
CELL_PARAMETERS angstrom
8.6895 -2.7732 0.0000
8.6895 2.7732 0.0000
-0.5367 0.0000 5.4554
ATOMIC_POSITIONS angstrom
Ce 6.3988 1.3904 3.8631
Ce 10.1752 1.3904 4.3201
Ce 6.6671 -1.3904 1.1353
Ce 10.4435 -1.3904 1.5924
Pu 5.1434 1.0068 1.4263
Pu 4.8751 -1.0068 4.1540
Pu 11.9673 1.0068 1.3014
Pu 11.6989 -1.0068 4.0291
In 8.5553 1.3590 1.3639
In 8.2870 -1.3590 4.0916

=====

(5)
! Ce5PuIn3 | the Alexandria database | PBE | relaxed; values from VASP
! Size of the total moment (Bohr magnetons per cell): 20.48
! Symmetry: I4/mcm
! Calculated volume (Å³/f.u.): 248.99
&SYSTEM
  ibrav = 0, nat = 18, ntyp = 3
/
ATOMIC_SPECIES
Ce 140.12 Ce.upf
Pu 244.00 Pu.upf
In 114.82 In.upf
CELL_PARAMETERS angstrom
-4.3471 4.3471 6.5879
4.3471 -4.3471 6.5879
4.3471 4.3471 -6.5879
ATOMIC_POSITIONS angstrom
Ce 0.0000 0.0000 0.0000
Ce 6.0001 1.6530 -2.0572
Ce 1.6530 2.6941 -2.0572
Ce 6.0001 1.6530 2.0572
Ce 1.6530 2.6941 2.0572
Ce 0.0000 0.0000 6.5879
Ce 2.6941 1.6530 4.5307
Ce -1.6530 2.6941 4.5307
Ce 2.6941 1.6530 8.6451
Ce -1.6530 2.6941 8.6451
Pu 4.3471 0.0000 3.2940
Pu 0.0000 4.3471 3.2940
In 3.3399 1.0072 0.0000
In 0.0000 0.0000 3.2940
In 3.3399 -1.0072 6.5879
In 1.0072 5.3544 0.0000
In 0.0000 0.0000 9.8819
In 1.0072 3.3399 6.5879

=====

(6)
! CePuIn4 | the Alexandria database | PBE | relaxed; values from VASP
! Size of the total moment (Bohr magnetons per cell): 7.45
! Symmetry: F-43m
! Calculated volume (Å³/f.u.): 156.82
&SYSTEM
  ibrav = 0, nat = 6, ntyp = 3
/
ATOMIC_SPECIES
Ce 140.12 Ce.upf
Pu 244.00 Pu.upf
In 114.82 In.upf
CELL_PARAMETERS angstrom
0.0000 4.2801 4.2801
4.2801 0.0000 4.2801
4.2801 4.2801 0.0000
ATOMIC_POSITIONS angstrom
Ce 0.0000 0.0000 0.0000
Pu 2.1400 2.1400 2.1400
In 5.3498 3.2104 3.2104
In 3.2104 5.3498 3.2104
In 3.2104 3.2104 5.3498
In 5.3498 5.3498 5.3498

=====

(7)
! CePuIn4 | the Alexandria database | PBE | relaxed; values from VASP
! Size of the total moment (Bohr magnetons per cell): 6.98
! Symmetry: Pmmm
! Calculated volume (Å³/f.u.): 158.28
&SYSTEM
  ibrav = 0, nat = 6, ntyp = 3
/
ATOMIC_SPECIES
Ce 140.12 Ce.upf
Pu 244.00 Pu.upf
In 114.82 In.upf
CELL_PARAMETERS angstrom
3.4621 0.0000 0.0000
0.0000 5.1108 0.0000
0.0000 0.0000 8.9451
ATOMIC_POSITIONS angstrom
Ce 0.0000 0.0000 0.0000
Pu 0.0000 2.5554 4.4725
In 1.7311 0.0000 2.9890
In 1.7311 0.0000 5.9561
In 1.7311 2.5554 1.4954
In 1.7311 2.5554 7.4496

=====

(8)
! Ce6PuIn2 | the Alexandria database | PBE | relaxed; values from VASP
! Size of the total moment (Bohr magnetons per cell): 0.00
! Symmetry: Fm-3m
! Calculated volume (Å³/f.u.): 250.67
&SYSTEM
  ibrav = 0, nat = 9, ntyp = 3
/
ATOMIC_SPECIES
Ce 140.12 Ce.upf
Pu 244.00 Pu.upf
In 114.82 In.upf
CELL_PARAMETERS angstrom
0.0000 5.0044 5.0044
5.0044 0.0000 5.0044
5.0044 5.0044 0.0000
ATOMIC_POSITIONS angstrom
Ce 5.0044 5.0044 2.4521
Ce 5.0044 2.4521 5.0044
Ce 7.5568 5.0044 5.0044
Ce 2.4521 5.0044 5.0044
Ce 5.0044 7.5568 5.0044
Ce 5.0044 5.0044 7.5568
Pu 0.0000 0.0000 0.0000
In 2.5022 2.5022 2.5022
In 7.5067 7.5067 7.5067

=====

no.,E_form (meV/atom)
1,161
2,-272
3,-361
4,-67
5,-199
6,-252
7,-264
8,-344